Crystalline Tl8CdPb3 at its relaxed geometry, computed with PBE.

Structure (POSCAR):
```
Tl8CdPb3
1.0
-4.2221 4.3327 5.8899
4.2221 -4.3327 5.8899
4.2221 4.3327 -5.8899
Tl Cd Pb
8 1 3
Direct
0.1016 0.1134 0.7262
0.1894 0.2880 0.4895
0.2015 0.7120 0.9014
0.3872 0.3754 0.2738
0.6128 0.8866 0.9882
0.7985 0.6998 0.5105
0.8106 0.3002 0.0986
0.8984 0.6246 0.0118
0.0000 0.0000 0.0000
0.2110 0.7110 0.5000
0.5000 0.5000 0.0000
0.7890 0.2890 0.5000
```

Results
Raw total energy   -2.419 eV/atom
Formation energy from the elements   0.1622 eV/atom

***

Crystalline BeNb3Cr at its relaxed geometry, computed with PBE.

Structure (POSCAR):
```
BeNb3Cr
1.0
4.3811 0.0000 0.0000
0.0000 4.3811 0.0000
0.0000 0.0000 4.3811
Be Nb Cr
1 3 1
Direct
0.0000 0.0000 0.0000
0.0000 0.0000 0.5000
0.0000 0.5000 0.0000
0.5000 0.0000 0.0000
0.5000 0.5000 0.5000
```

Results
Relative energy among the computed polymorphs   0.000 eV/atom
Raw total energy   -7.843 eV/atom
Formation energy from the elements   0.8683 eV/atom

***

Crystalline SrZrW2 at its relaxed geometry, computed with PBE.

Structure (POSCAR):
```
SrZrW2
1.0
5.8015 0.0000 0.0000
0.0000 10.2848 0.0000
0.0000 0.0000 2.7725
Sr Zr W
2 2 4
Direct
0.0000 0.0000 0.0000
0.5000 0.5000 0.0000
0.0000 0.5000 0.0000
0.5000 0.0000 0.0000
0.2500 0.2500 0.5000
0.2500 0.7500 0.5000
0.7500 0.2500 0.5000
0.7500 0.7500 0.5000
```

Results
Relative energy among the computed polymorphs   0.506 eV/atom
Raw total energy   -8.009 eV/atom
Formation energy from the elements   1.0251 eV/atom